Entry 1:
The following is a DFT calculation (PBE-GGA) of an optimized crystal structure of PmSmYCu.

abc: 3.5640 3.5640 8.7327
angles: 90.00 90.00 90.00
Fractional coordinates of all 4 atoms:
Pm  0.0000  0.0000  0.0734
Sm  0.5000  0.5000  0.7683
Y  0.5000  0.5000  0.3779
Cu  0.0000  0.0000  0.5650

VASP energy ... -5.091 eV per atom
M_tot ... 0.000 μB/atom

---

Entry 2:
The following is a DFT calculation (PBE-GGA) of an optimized crystal structure of PmSmZnCu.

abc: 5.1021 5.1021 5.1021
angles: 60.00 60.00 60.00
Fractional coordinates of all 4 atoms:
Zn  0.7500  0.7500  0.7500
Cu  0.2500  0.2500  0.2500
Sm  0.5000  0.5000  0.5000
Pm  0.0000  0.0000  0.0000

VASP energy ... -3.945 eV per atom
M_tot ... 0.000 μB/atom

---

Entry 3:
The following is a DFT calculation (PBE-GGA) of an optimized crystal structure of PmSmZnCu.

abc: 3.6067 3.6067 7.2016
angles: 90.00 90.00 90.00
Fractional coordinates of all 4 atoms:
Pm  0.0000  0.0000  0.3522
Sm  0.0000  0.0000  0.8635
Zn  0.5000  0.5000  0.6101
Cu  0.5000  0.5000  0.1022

VASP energy ... -3.952 eV per atom
M_tot ... 0.000 μB/atom

---

Entry 4:
The following is a DFT calculation (PBE-GGA) of an optimized crystal structure of Pm4CuSn2.

abc: 5.1145 5.1145 9.2123
angles: 106.12 106.12 90.00
Fractional coordinates of all 7 atoms:
Sn  0.6344  0.6344  0.2689
Sn  0.3656  0.3656  0.7311
Cu  0.0000  0.0000  0.0000
Pm  0.8215  0.8215  0.6430
Pm  0.1785  0.1785  0.3570
Pm  0.0000  0.5000  0.0000
Pm  0.5000  0.0000  0.0000

VASP energy ... -4.757 eV per atom
M_tot ... 0.000 μB/atom

---

Entry 5:
The following is a DFT calculation (PBE-GGA) of an optimized crystal structure of PmCuSn2.

abc: 5.4557 5.4557 4.9682
angles: 56.70 56.70 60.00
Fractional coordinates of all 4 atoms:
Sn  0.2304  0.2304  0.3088
Sn  0.7696  0.7696  0.6912
Cu  0.0000  0.0000  0.0000
Pm  0.5000  0.5000  0.5000

VASP energy ... -4.356 eV per atom
M_tot ... 0.000 μB/atom

---

Entry 6:
The following is a DFT calculation (PBE-GGA) of an optimized crystal structure of PmCuSn.

abc: 6.1813 5.9566 8.1186
angles: 69.70 90.00 90.00
Fractional coordinates of all 12 atoms:
Sn  0.8711  0.7063  0.0216
Sn  0.3711  0.7937  0.4784
Sn  0.1289  0.2937  0.9784
Sn  0.6289  0.2063  0.5216
Pm  0.8671  0.6723  0.6226
Pm  0.3671  0.8277  0.8774
Pm  0.1329  0.3277  0.3774
Pm  0.6329  0.1723  0.1226
Cu  0.5770  0.6158  0.2624
Cu  0.0770  0.8842  0.2376
Cu  0.4230  0.3842  0.7376
Cu  0.9230  0.1158  0.7624

VASP energy ... -4.724 eV per atom
M_tot ... 0.000 μB/atom

---

Please write out number 6 again, unchanged.
The following is a DFT calculation (PBE-GGA) of an optimized crystal structure of PmCuSn.

abc: 6.1813 5.9566 8.1186
angles: 69.70 90.00 90.00
Fractional coordinates of all 12 atoms:
Sn  0.8711  0.7063  0.0216
Sn  0.3711  0.7937  0.4784
Sn  0.1289  0.2937  0.9784
Sn  0.6289  0.2063  0.5216
Pm  0.8671  0.6723  0.6226
Pm  0.3671  0.8277  0.8774
Pm  0.1329  0.3277  0.3774
Pm  0.6329  0.1723  0.1226
Cu  0.5770  0.6158  0.2624
Cu  0.0770  0.8842  0.2376
Cu  0.4230  0.3842  0.7376
Cu  0.9230  0.1158  0.7624

VASP energy ... -4.724 eV per atom
M_tot ... 0.000 μB/atom

---

Question: Which formula does entry 2 have?
Answer: PmSmZnCu